1.
Ag2SnSe2: optimized geometry, PBE-GGA.

Cell lengths 4.2769, 4.2769, 7.7892 Å; angles 74.07, 74.07, 60.00 degrees
Atoms (fractional coordinates):
Sn 0.0000 0.0000 0.0000
Se 0.5883 0.5883 0.2352
Se 0.4117 0.4117 0.7648
Ag 0.7979 0.7979 0.6063
Ag 0.2021 0.2021 0.3937

D(E_F)   0.8 states/eV per cell
Raw formation energy   -0.1539 eV/atom
Space group   R-3m
Energy above the most stable polymorph in this dataset   0.0 meV/atom
Size of the total moment   0.000 μB/cell

2.
Ag3SnSe3: optimized geometry, PBE-GGA.

Cell lengths 7.4162, 7.4162, 8.3791 Å; angles 63.73, 63.73, 60.00 degrees
Atoms (fractional coordinates):
Ag 0.2108 0.8736 0.3916
Ag 0.4760 0.7892 0.6084
Ag 0.1264 0.4760 0.6084
Ag 0.7892 0.1264 0.6084
Ag 0.5240 0.2108 0.3916
Ag 0.8736 0.5240 0.3916
Se 0.2602 0.5891 0.2227
Se 0.7398 0.4109 0.7773
Se 0.9280 0.2602 0.2227
Se 0.0720 0.7398 0.7773
Se 0.5891 0.9280 0.2227
Se 0.4109 0.0720 0.7773
Sn 0.3324 0.3324 0.0029
Sn 0.6676 0.6676 0.9971

D(E_F)   4.8 states/eV per cell
Raw formation energy   -0.1445 eV/atom
Space group   R-3
Energy above the most stable polymorph in this dataset   0.0 meV/atom
Size of the total moment   0.000 μB/cell

3.
AgSn3Se: optimized geometry, PBE-GGA.

Cell lengths 5.3391, 5.3391, 5.3391 Å; angles 90.00, 90.00, 90.00 degrees
Atoms (fractional coordinates):
Sn 0.5000 0.0000 0.0000
Sn 0.0000 0.0000 0.5000
Sn 0.0000 0.5000 0.0000
Se 0.5000 0.5000 0.5000
Ag 0.0000 0.0000 0.0000

D(E_F)   2.1 states/eV per cell
Raw formation energy   0.3662 eV/atom
Space group   Pm-3m
Energy above the most stable polymorph in this dataset   0.0 meV/atom
Size of the total moment   0.000 μB/cell